## ReSi2Cl (SCAN)

Data for a PBEsol-optimized structure of ReSi2Cl.

a = 4.5232 Å, b = 4.5232 Å, c = 2.8988 Å
α = 90.00°, β = 90.00°, γ = 107.45°
Atoms (fractional coordinates):
Re: 0.0000 0.0000 0.0000
Si: 0.0000 0.5000 0.5000
Si: 0.5000 0.0000 0.5000
Cl: 0.5000 0.5000 0.0000

Computed properties:
For the offset from the most stable computed form, the calculation gives 424 meV/atom. The crystal system is orthorhombic. Its total energy is -23.98 eV/atom. For the energy relative to the elements, uncorrected, the calculation gives 0.7976 eV/atom.


## ReSiCl2 (SCAN)

Data for a PBEsol-optimized structure of ReSiCl2.

a = 9.1625 Å, b = 9.1625 Å, c = 9.1625 Å
α = 18.20°, β = 18.20°, γ = 18.20°
Atoms (fractional coordinates):
Re: 0.0000 0.0000 0.0000
Si: 0.5000 0.5000 0.5000
Cl: 0.0834 0.0834 0.0834
Cl: 0.9166 0.9166 0.9166

Computed properties:
For the offset from the most stable computed form, the calculation gives 0 meV/atom. The crystal system is trigonal. Its total energy is -23.77 eV/atom. For the energy relative to the elements, uncorrected, the calculation gives 0.4994 eV/atom.


## ReSi2Cl (SCAN)

Data for a PBEsol-optimized structure of ReSi2Cl.

a = 4.6854 Å, b = 4.6854 Å, c = 4.5152 Å
α = 96.24°, β = 96.24°, γ = 36.62°
Atoms (fractional coordinates):
Re: 0.0000 0.0000 0.0000
Si: 0.2756 0.2756 0.7807
Si: 0.7244 0.7244 0.2193
Cl: 0.5000 0.5000 0.5000

Computed properties:
For the offset from the most stable computed form, the calculation gives 374 meV/atom. The crystal system is monoclinic. Its total energy is -24.03 eV/atom. For the energy relative to the elements, uncorrected, the calculation gives 0.7472 eV/atom.


## ReSnCl2 (SCAN)

Data for a PBEsol-optimized structure of ReSnCl2.

a = 4.7472 Å, b = 4.7472 Å, c = 4.7472 Å
α = 60.00°, β = 60.00°, γ = 60.00°
Atoms (fractional coordinates):
Re: 0.0000 0.0000 0.0000
Sn: 0.5000 0.5000 0.5000
Cl: 0.2500 0.2500 0.2500
Cl: 0.7500 0.7500 0.7500

Computed properties:
The crystal system is cubic. Its total energy is -29.65 eV/atom. For the energy relative to the elements, uncorrected, the calculation gives 1.0899 eV/atom.


## Sr2ReCl (SCAN)

Data for a PBEsol-optimized structure of Sr2ReCl.

a = 6.4524 Å, b = 6.4524 Å, c = 6.4524 Å
α = 152.00°, β = 131.35°, γ = 57.07°
Atoms (fractional coordinates):
Sr: 0.0000 0.0000 0.0000
Sr: 0.6899 0.1899 0.5000
Re: 0.4318 0.4318 0.0000
Cl: 0.2410 0.7410 0.5000

Computed properties:
For the offset from the most stable computed form, the calculation gives 308 meV/atom. The crystal system is orthorhombic. Its total energy is -30.64 eV/atom. For the energy relative to the elements, uncorrected, the calculation gives 0.2701 eV/atom.


## Sr2ReCl (SCAN)

Data for a PBEsol-optimized structure of Sr2ReCl.

a = 4.2993 Å, b = 4.2993 Å, c = 6.0050 Å
α = 90.00°, β = 90.00°, γ = 90.00°
Atoms (fractional coordinates):
Sr: 0.0000 0.0000 0.0000
Sr: 0.5000 0.5000 0.5000
Re: 0.0000 0.0000 0.5000
Cl: 0.5000 0.5000 0.0000

Computed properties:
For the offset from the most stable computed form, the calculation gives 81 meV/atom. The crystal system is tetragonal. Its total energy is -30.86 eV/atom. For the energy relative to the elements, uncorrected, the calculation gives 0.0437 eV/atom.


## Sr2ReCl (SCAN)

Data for a PBEsol-optimized structure of Sr2ReCl.

a = 9.1927 Å, b = 9.1927 Å, c = 9.1927 Å
α = 22.56°, β = 22.56°, γ = 22.56°
Atoms (fractional coordinates):
Sr: 0.2504 0.2504 0.2504
Sr: 0.7496 0.7496 0.7496
Re: 0.0000 0.0000 0.0000
Cl: 0.5000 0.5000 0.5000

Computed properties:
For the offset from the most stable computed form, the calculation gives 0 meV/atom. The crystal system is trigonal. Its total energy is -30.94 eV/atom. For the energy relative to the elements, uncorrected, the calculation gives -0.0377 eV/atom.


## SrReCl2 (SCAN)

Data for a PBEsol-optimized structure of SrReCl2.

a = 7.7398 Å, b = 7.7398 Å, c = 7.7398 Å
α = 29.32°, β = 29.32°, γ = 29.32°
Atoms (fractional coordinates):
Sr: 0.0000 0.0000 0.0000
Re: 0.5000 0.5000 0.5000
Cl: 0.1252 0.1252 0.1252
Cl: 0.8748 0.8748 0.8748

Computed properties:
The crystal system is trigonal. Its total energy is -27.18 eV/atom. For the energy relative to the elements, uncorrected, the calculation gives 0.1565 eV/atom.